This record from Alexandria describes a relaxed structure of CaMg7. The functional is PBEsol.

Lattice parameters (Å, degrees): 9.2560 9.2560 9.2560 90.00 90.00 90.00
Space group Fm-3m (No. 225)
Unique sites:
Ca (0.0000, 0.0000, 0.0000) [4 per cell]
Mg (0.0000, 0.0000, 0.5000) [4 per cell]
Mg (0.0000, 0.2500, 0.2500) [24 per cell]

Results
The energy of formation from the pure elements comes out at 0.022 eV/atom.

This record from Alexandria describes a relaxed structure of CdCoCl2. The functional is PBEsol.

Lattice parameters (Å, degrees): 3.3885 3.3885 23.3735 90.00 90.00 120.00
Space group R3m (No. 160, hexagonal axes)
Unique sites:
Cd (0.0000, 0.0000, 0.0000) [3 per cell]
Co (0.0000, 0.0000, 0.7492) [3 per cell]
Cl (0.0000, 0.0000, 0.2594) [3 per cell]
Cl (0.0000, 0.0000, 0.4609) [3 per cell]

Results
The uncorrected formation energy is -0.3225 eV/atom. As for the energy above the most stable polymorph in this dataset: 0.00 kcal/mol of atoms.